# Ce2YMg

A relaxed Ce2YMg crystal (GGA-PBE, the Alexandria database).

The structure in POSCAR format:
```
Ce2YMg
1.0
3.3203 0.0000 0.0000
0.0000 3.3203 0.0000
0.0000 0.0000 10.4481
Ce Y Mg
2 1 1
direct
0.0000 0.0000 0.2395 Ce
0.0000 0.0000 0.7605 Ce
0.5000 0.5000 0.5000 Y
0.5000 0.5000 0.0000 Mg
```

Values from the calculation:
- space-group type = No. 123
- formation energy from the elements (eV per atom) = 0.104
- calculated volume (Å³/atom) = 28.796
- calculated total energy (eV for the cell shown) = -19.51



# CeY2Mg

A relaxed CeY2Mg crystal (GGA-PBE, the Alexandria database).

The structure in POSCAR format:
```
CeY2Mg
1.0
5.5210 0.0000 0.0000
2.7605 4.7814 0.0000
2.7605 1.5938 4.5079
Y Mg Ce
2 1 1
direct
0.7500 0.7500 0.7500 Y
0.2500 0.2500 0.2500 Y
0.0000 0.0000 0.0000 Mg
0.5000 0.5000 0.5000 Ce
```

Values from the calculation:
- space-group type = No. 225
- formation energy from the elements (eV per atom) = 0.149
- calculated volume (Å³/atom) = 29.750
- calculated total energy (eV for the cell shown) = -19.86



formation energy from the elements of number 2 (CeY2Mg)? 0.149 eV per atom